Run A
BH2S PBE relaxed; total moment = 0.000 μB per atom; crystal system = tetragonal; space-group type = No. 141
1.0
-1.5276 1.5276 5.8765
1.5276 -1.5276 5.8765
1.5276 1.5276 -5.8765
B H S
2 4 2
Direct
0.3750 0.6250 0.7500
0.6250 0.3750 0.2500
0.0000 0.5000 0.5000
0.5000 0.0000 0.0000
0.5000 0.5000 0.0000
0.5000 0.5000 0.5000
0.1250 0.8750 0.2500
0.8750 0.1250 0.7500

---

Run B
BH2S PBE relaxed; total moment = 0.000 μB per atom; crystal system = monoclinic; space-group type = No. 8
1.0
3.6886 -1.5034 0.0000
3.6886 1.5034 0.0000
-2.5650 0.0000 4.8150
B H S
1 2 1
Direct
0.0000 0.0000 0.0000
0.0688 0.0688 0.2479
0.7927 0.7927 0.9016
0.5258 0.5258 0.8176

---

What should be chosen as the least stable of them? Choose run A.

---

Run A
BHS PBE relaxed; total moment = 0.667 μB per atom; crystal system = tetragonal; space-group type = No. 107
1.0
-2.5190 2.5190 4.3831
2.5190 -2.5190 4.3831
2.5190 2.5190 -4.3831
B H S
1 1 1
Direct
0.0000 0.0000 0.0000
0.5707 0.5707 0.0000
0.1847 0.1847 0.0000

---

Run B
BHS PBE relaxed; total moment = 0.000 μB per atom; crystal system = triclinic; space-group type = No. 1
1.0
2.9563 0.0000 0.0000
0.9292 4.5567 0.0000
0.8198 1.2963 4.4897
B H S
1 1 1
Direct
0.0000 0.0000 0.0000
0.0061 0.7884 0.2178
0.4946 0.1855 0.8093

---

Run C
BHS PBE relaxed; total moment = 0.000 μB per atom; crystal system = triclinic; space-group type = No. 2
1.0
3.0666 0.0000 0.0000
0.0346 5.4882 0.0000
0.0690 2.3359 5.7153
B H S
2 2 2
Direct
0.2461 0.0353 0.1540
0.7539 0.9647 0.8460
0.2423 0.1755 0.2629
0.7577 0.8245 0.7371
0.2522 0.1948 0.8059
0.7478 0.8052 0.1941

---

Run D
BHS PBE relaxed; total moment = 0.000 μB per atom; crystal system = triclinic; space-group type = No. 1
1.0
3.0632 0.0000 0.0000
1.5300 3.6891 0.0000
0.3126 1.4784 8.7190
B H S
2 2 2
Direct
0.0000 0.0000 0.0000
0.2261 0.5377 0.0513
0.5743 0.6959 0.5483
0.6540 0.8371 0.5023
0.3975 0.2291 0.8845
0.8288 0.3086 0.1667

---

What should be chosen as the least stable of them? Choose run A.

---

Run A
B2SbH PBE relaxed; total moment = 0.000 μB per atom; crystal system = cubic; space-group type = No. 225
1.0
0.0000 2.8502 2.8502
2.8502 0.0000 2.8502
2.8502 2.8502 0.0000
B Sb H
2 1 1
Direct
0.2500 0.2500 0.2500
0.7500 0.7500 0.7500
0.0000 0.0000 0.0000
0.5000 0.5000 0.5000

---

Run B
B2SbH PBE relaxed; total moment = 0.000 μB per atom; crystal system = tetragonal; space-group type = No. 122
1.0
-1.8314 1.8314 6.1055
1.8314 -1.8314 6.1055
1.8314 1.8314 -6.1055
B Sb H
4 2 2
Direct
0.3750 0.2306 0.3556
0.7694 0.1250 0.1444
0.8750 0.0194 0.6444
0.9806 0.6250 0.8556
0.2500 0.7500 0.5000
0.5000 0.5000 0.0000
0.0000 0.0000 0.0000
0.7500 0.2500 0.5000

---

What should be chosen as the least stable of them? Choose run A.

---

Run A
BSbH3 PBE relaxed; total moment = 0.000 μB per atom; crystal system = cubic; space-group type = No. 221
1.0
3.9327 0.0000 0.0000
0.0000 3.9327 0.0000
0.0000 0.0000 3.9327
B Sb H
1 1 3
Direct
0.0000 0.0000 0.0000
0.5000 0.5000 0.5000
0.0000 0.5000 0.5000
0.5000 0.0000 0.5000
0.5000 0.5000 0.0000

---

Run B
BSbH3 PBE relaxed; total moment = 0.000 μB per atom; crystal system = cubic; space-group type = No. 221
1.0
3.4363 0.0000 0.0000
0.0000 3.4363 0.0000
0.0000 0.0000 3.4363
B Sb H
1 1 3
Direct
0.0000 0.0000 0.0000
0.5000 0.5000 0.5000
0.0000 0.0000 0.5000
0.0000 0.5000 0.0000
0.5000 0.0000 0.0000

---

What should be chosen as the least stable of them? Choose run A.

---

Run A
BSbH2 PBE relaxed; total moment = 0.000 μB per atom; crystal system = cubic; space-group type = No. 225
1.0
0.0000 2.6685 2.6685
2.6685 0.0000 2.6685
2.6685 2.6685 0.0000
B Sb H
1 1 2
Direct
0.0000 0.0000 0.0000
0.5000 0.5000 0.5000
0.2500 0.2500 0.2500
0.7500 0.7500 0.7500

---

Run B
BSbH2 PBE relaxed; total moment = 0.000 μB per atom; crystal system = tetragonal; space-group type = No. 141
1.0
-1.8643 1.8643 5.4579
1.8643 -1.8643 5.4579
1.8643 1.8643 -5.4579
B Sb H
2 2 4
Direct
0.3750 0.6250 0.7500
0.6250 0.3750 0.2500
0.1250 0.8750 0.2500
0.8750 0.1250 0.7500
0.0000 0.5000 0.5000
0.5000 0.0000 0.0000
0.5000 0.5000 0.0000
0.5000 0.5000 0.5000

---

What should be chosen as the least stable of them? Choose run A.

---

Run A
B2SbH6 PBE relaxed; total moment = 0.000 μB per atom; crystal system = monoclinic; space-group type = No. 12
1.0
3.2841 -3.1894 0.0000
3.2841 3.1894 0.0000
-0.2516 0.0000 4.4132
B Sb H
2 1 6
Direct
0.2295 0.2295 0.2758
0.7705 0.7705 0.7242
0.5000 0.5000 0.0000
0.0244 0.7006 0.7945
0.2994 0.9756 0.2055
0.3017 0.3017 0.5405
0.6983 0.6983 0.4595
0.7006 0.0244 0.7945
0.9756 0.2994 0.2055

---

Run B
B2SbH6 PBE relaxed; total moment = 0.000 μB per atom; crystal system = cubic; space-group type = No. 225
1.0
0.0000 3.3931 3.3931
3.3931 0.0000 3.3931
3.3931 3.3931 0.0000
B Sb H
2 1 6
Direct
0.2500 0.2500 0.2500
0.7500 0.7500 0.7500
0.0000 0.0000 0.0000
0.2744 0.2744 0.7256
0.2744 0.7256 0.2744
0.2744 0.7256 0.7256
0.7256 0.2744 0.2744
0.7256 0.2744 0.7256
0.7256 0.7256 0.2744

---

What should be chosen as the least stable of them? Choose run B.

---

Run A
ScB2H PBE relaxed; total moment = 0.000 μB per atom; crystal system = tetragonal; space-group type = No. 141
1.0
-1.6542 1.6542 6.6287
1.6542 -1.6542 6.6287
1.6542 1.6542 -6.6287
Sc B H
2 4 2
Direct
0.3750 0.6250 0.7500
0.6250 0.3750 0.2500
0.0000 0.0000 0.0000
0.0000 0.0000 0.5000
0.0000 0.5000 0.0000
0.5000 0.0000 0.5000
0.1250 0.8750 0.2500
0.8750 0.1250 0.7500

---

Run B
ScB2H PBE relaxed; total moment = 0.000 μB per atom; crystal system = cubic; space-group type = No. 225
1.0
0.0000 2.7045 2.7045
2.7045 0.0000 2.7045
2.7045 2.7045 0.0000
Sc B H
1 2 1
Direct
0.0000 0.0000 0.0000
0.2500 0.2500 0.2500
0.7500 0.7500 0.7500
0.5000 0.5000 0.5000

---

What should be chosen as the least stable of them? Choose run B.

---

Run A
ScB2H8 PBE relaxed; total moment = 0.061 μB per atom; crystal system = monoclinic; space-group type = No. 12
1.0
4.3136 -3.3427 0.0000
4.3136 3.3427 0.0000
-0.9862 0.0000 3.5279
Sc B H
1 2 8
Direct
0.0000 0.0000 0.0000
0.2148 0.2148 0.6553
0.7852 0.7852 0.3447
0.0137 0.7043 0.2991
0.2299 0.2299 0.3304
0.2957 0.9863 0.7009
0.3519 0.3519 0.8535
0.6481 0.6481 0.1465
0.7043 0.0137 0.2991
0.7701 0.7701 0.6696
0.9863 0.2957 0.7009

---

Run B
ScB2H8 PBE relaxed; total moment = 0.083 μB per atom; crystal system = monoclinic; space-group type = No. 15
1.0
6.5745 -2.9025 0.0000
6.5745 2.9025 0.0000
-3.0909 0.0000 5.7274
Sc B H
2 4 16
Direct
0.0185 0.9815 0.7500
0.9815 0.0185 0.2500
0.1209 0.6557 0.9077
0.3443 0.8791 0.5923
0.6557 0.1209 0.4077
0.8791 0.3443 0.0923
0.1123 0.1624 0.0893
0.1421 0.6113 0.7086
0.1624 0.1123 0.5893
0.1902 0.4626 0.9390
0.2596 0.7276 0.0447
0.2724 0.7404 0.4553
0.3887 0.8579 0.7914
0.4626 0.1902 0.4390
0.5374 0.8098 0.5610
0.6113 0.1421 0.2086
0.7276 0.2596 0.5447
0.7404 0.2724 0.9553
0.8098 0.5374 0.0610
0.8376 0.8877 0.4107
0.8579 0.3887 0.2914
0.8877 0.8376 0.9107

---

What should be chosen as the least stable of them? Choose run A.

---

Run A
ScBH2 PBE relaxed; total moment = 0.000 μB per atom; crystal system = trigonal; space-group type = No. 166
1.0
1.6722 0.9654 3.0967
-1.6722 0.9654 3.0967
0.0000 -1.9309 3.0967
Sc B H
1 1 2
Direct
0.0000 0.0000 0.0000
0.5000 0.5000 0.5000
0.2264 0.2264 0.2264
0.7736 0.7736 0.7736

---

Run B
ScBH2 PBE relaxed; total moment = 0.000 μB per atom; crystal system = tetragonal; space-group type = No. 122
1.0
-1.8089 1.8089 4.8107
1.8089 -1.8089 4.8107
1.8089 1.8089 -4.8107
Sc B H
2 2 4
Direct
0.0000 0.0000 0.0000
0.7500 0.2500 0.5000
0.2500 0.7500 0.5000
0.5000 0.5000 0.0000
0.3696 0.6250 0.2446
0.3750 0.6196 0.7446
0.3804 0.1250 0.7554
0.8750 0.6304 0.2554

---

What should be chosen as the least stable of them? Choose run B.

---

Run A
B2H6Se PBE relaxed; total moment = 0.000 μB per atom; crystal system = triclinic; space-group type = No. 2
1.0
2.4574 0.0000 0.0000
0.8095 4.0153 0.0000
0.7444 0.2874 9.2375
B H Se
2 6 1
Direct
0.0168 0.0329 0.4092
0.9832 0.9671 0.5908
0.0639 0.6753 0.6434
0.1133 0.8283 0.3178
0.4647 0.2228 0.3738
0.5353 0.7772 0.6262
0.8867 0.1717 0.6822
0.9361 0.3247 0.3566
0.5000 0.5000 0.0000

---

Run B
B2H6Se PBE relaxed; total moment = 0.000 μB per atom; crystal system = triclinic; space-group type = No. 2
1.0
4.9110 0.0000 0.0000
-0.9431 4.9605 0.0000
-1.6755 -2.2897 4.6152
B H Se
2 6 1
Direct
0.0624 0.0728 0.1878
0.9376 0.9272 0.8122
0.0509 0.3076 0.3320
0.0899 0.8746 0.2781
0.2144 0.0919 0.0304
0.7856 0.9081 0.9696
0.9101 0.1254 0.7219
0.9491 0.6924 0.6680
0.5000 0.0000 0.5000

---

What should be chosen as the least stable of them? Choose run A.